Ba2TaCrFe | PBE-GGA | optimized geometry

a = 6.0531 Å, b = 4.5847 Å, c = 6.0531 Å
α = 90.00°, β = 90.00°, γ = 90.00°
Last column: nearest neighbours and their distance in Å.
Fractional positions:
1 Ba 0.5000 0.0000 0.0000  2 Fe 3.03
2 Ba 0.0000 0.0000 0.5000  2 Fe 3.03
3 Cr 0.5000 0.5000 0.5000  8 Ba 3.80
4 Ta 0.0000 0.5000 0.0000  2 Fe 2.29
5 Fe 0.0000 0.0000 0.0000  2 Ta 2.29

Results
VASP energy	-5.623	eV/atom
energy of formation	1.13	eV/atom

***

BaTiCr2Fe | PBE-GGA | optimized geometry

a = 4.3756 Å, b = 5.2649 Å, c = 4.3756 Å
α = 90.00°, β = 90.00°, γ = 90.00°
Last column: nearest neighbours and their distance in Å.
Fractional positions:
1 Ti 0.5000 0.5000 0.5000  4 Ba 3.09, 8 Cr 3.42
2 Cr 0.5000 0.0000 0.0000  2 Fe 2.19
3 Cr 0.0000 0.0000 0.5000  2 Fe 2.19
4 Fe 0.0000 0.0000 0.0000  4 Cr 2.19
5 Ba 0.0000 0.5000 0.0000  2 Fe 2.63

Results
VASP energy	-5.954	eV/atom
energy of formation	1.55	eV/atom

***

BaCrGa3 | PBE-GGA | optimized geometry

a = 5.7458 Å, b = 5.7458 Å, c = 5.7458 Å
α = 90.00°, β = 90.00°, γ = 90.00°
Last column: nearest neighbours and their distance in Å.
Fractional positions:
1 Cr 0.5000 0.5000 0.5000  12 Ga 4.06
2 Ga 0.0000 0.5000 0.0000  2 Ba 2.87
3 Ga 0.0000 0.0000 0.5000  2 Ba 2.87
4 Ga 0.5000 0.0000 0.0000  2 Ba 2.87
5 Ba 0.0000 0.0000 0.0000  6 Ga 2.87

Results
VASP energy	-2.186	eV/atom
excess energy over the best structure of this formula in the dataset	1049	kJ/mol of formula units
energy of formation	1.94	eV/atom

***

BaCr3Ga | PBE-GGA | optimized geometry

a = 4.7410 Å, b = 4.7410 Å, c = 4.7410 Å
α = 90.00°, β = 90.00°, γ = 90.00°
Last column: nearest neighbours and their distance in Å.
Fractional positions:
1 Cr 0.0000 0.0000 0.5000  2 Ga 2.37
2 Cr 0.0000 0.5000 0.0000  2 Ga 2.37
3 Cr 0.5000 0.0000 0.0000  2 Ga 2.37
4 Ba 0.5000 0.5000 0.5000  12 Cr 3.35
5 Ga 0.0000 0.0000 0.0000  6 Cr 2.37

Results
VASP energy	-5.185	eV/atom
excess energy over the best structure of this formula in the dataset	0	kJ/mol of formula units
energy of formation	1.58	eV/atom

***

Ba2CrGa | PBE-GGA | optimized geometry

a = 11.3833 Å, b = 11.3833 Å, c = 8.4079 Å
α = 47.40°, β = 47.40°, γ = 90.00°
Last column: nearest neighbours and their distance in Å.
Fractional positions:
1 Ga 0.0000 0.0000 0.0000  2 Cr 2.43
2 Ga 0.7500 0.2500 0.5000  2 Cr 2.43
3 Ba 0.4212 0.1250 0.2500  2 Cr 2.96
4 Ba 0.3750 0.5788 0.7500  2 Cr 2.96
5 Ba 0.8750 0.6712 0.7500  2 Cr 2.96
6 Ba 0.3288 0.6250 0.2500  2 Cr 2.96
7 Cr 0.5000 0.5000 0.0000  2 Ga 2.43
8 Cr 0.2500 0.7500 0.5000  2 Ga 2.43

Results
VASP energy	-3.534	eV/atom
energy of formation	0.59	eV/atom

***

BaCrGa2 | PBE-GGA | optimized geometry

a = 5.2386 Å, b = 5.2386 Å, c = 9.5149 Å
α = 74.02°, β = 74.02°, γ = 90.00°
Last column: nearest neighbours and their distance in Å.
Fractional positions:
1 Ga 0.3744 0.1250 0.2500  2 Cr 2.55, 2 Ga 2.62
2 Ga 0.3756 0.6250 0.2500  2 Cr 2.55, 2 Ga 2.62
3 Ga 0.8750 0.6244 0.7500  2 Cr 2.55, 2 Ga 2.62
4 Ga 0.3750 0.6256 0.7500  2 Cr 2.55, 2 Ga 2.62
5 Cr 0.2500 0.7500 0.5000  4 Ga 2.55
6 Cr 0.5000 0.5000 0.0000  4 Ga 2.55
7 Ba 0.7500 0.2500 0.5000  8 Ga 3.66, 4 Cr 3.70
8 Ba 0.0000 0.0000 0.0000  8 Ga 3.66, 4 Cr 3.70

Results
VASP energy	-4.284	eV/atom
energy of formation	0.12	eV/atom